First-principles (GGA-PBE) data for a geometry-optimized LaGa2CoI structure, as listed in the Alexandria database.

```
data_LaGa2CoI
_chemical_formula_sum 'La1 Ga2 Co1 I1'
_symmetry_space_group_name_H-M 'P 4/m m m'
_symmetry_Int_Tables_number 123
_symmetry_space_group_name_Hall '-P 4 2'
_cell_length_a 4.715
_cell_length_b 4.715
_cell_length_c 5.277
_cell_angle_alpha 90.00
_cell_angle_beta 90.00
_cell_angle_gamma 90.00
loop_
_atom_site_label
_atom_site_type_symbol
_atom_site_fract_x
_atom_site_fract_y
_atom_site_fract_z
_atom_site_occupancy
La1 La 0.000 0.000 0.000 1
Ga1 Ga 0.000 0.500 0.500 1
Co1 Co 0.000 0.000 0.500 1
I1 I 0.500 0.500 0.000 1
```

Properties
N(E_F): 1.9 states/eV per cell
Size of the total moment: 0.0 μB/cell
Formation energy (no corrections): -0.592 eV per atom
Crystal system: tetragonal
Raw total energy: -4.519 eV/atom